Entry from the Alexandria database: an optimized crystal structure of Pr3Tl3Hg2 (PBE-GGA).

The structure belongs to space group C2/m (No. 12); the cell edges are 19.3897, 4.7382 and 5.1645 Å and the angles 90.00°, 105.44° and 90.00°. The inequivalent atoms are Pr at (0.0000, 0.0000, 0.0000), Pr at (0.1425, 0.0000, 0.6416), Tl at (0.0000, 0.5000, 0.5000), Tl at (0.1274, 0.5000, 0.1269) and Hg at (0.2443, 0.0000, 0.2435).

For the density, the calculation gives 10.44 g/cm³. The calculation puts the energy of formation at -0.37 eV per atom. The value obtained for the volume is 28.584 Å³/atom. For the offset from the most stable computed form, the calculation gives 0.000 eV/f.u.